{"formula": "KTa2Cu", "functional": "SCAN", "state": "single point on PBEsol structure", "cell": [[2.941, 0.000, 0.000], [0.000, 4.873, 0.000], [0.000, 0.000, 4.873]], "species": ["Cu", "K", "Ta", "Ta"], "frac_coords": [[0.500, 0.500, 0.500], [0.500, 0.000, 0.000], [0.000, 0.000, 0.500], [0.000, 0.500, 0.000]], "spacegroup": "P4/mmm (123)", "e_form_mev_per_atom": 1841}

---

{"formula": "MgS", "functional": "SCAN", "state": "single point on PBEsol structure", "cell": [[3.997, 0.000, 0.000], [1.998, 3.461, 0.000], [1.998, 1.154, 3.263]], "species": ["S", "Mg"], "frac_coords": [[0.750, 0.750, 0.750], [0.000, 0.000, 0.000]], "spacegroup": "F-43m (216)", "raw_formation_energy_mev_per_atom": -1646}

---

{"formula": "YMgPt2", "functional": "SCAN", "state": "single point on PBEsol structure", "cell": [[-2.764, -1.976, -0.457], [2.357, -3.654, 1.538], [-1.373, 0.925, 4.303]], "species": ["Y", "Mg", "Pt", "Pt"], "frac_coords": [[0.375, 0.375, 0.000], [0.376, 0.875, 0.500], [0.875, 0.875, 0.000], [0.875, 0.375, 0.500]], "spacegroup": "P4mm (99)", "e_form_mev_per_atom": -1147}

---

{"formula": "Li2NiAs", "functional": "SCAN", "state": "single point on PBEsol structure", "cell": [[-1.484, 0.016, -2.190], [-0.586, -2.551, 0.380], [-6.054, 2.004, 4.119]], "species": ["As", "Li", "Li", "Ni"], "frac_coords": [[0.500, 0.500, 0.000], [0.000, 0.000, 0.264], [0.000, 0.000, 0.736], [0.500, 0.500, 0.500]], "spacegroup": "P4/mmm (123)", "e_form_mev_per_atom": -122}

---

{"formula": "K2CuF4", "functional": "SCAN", "state": "single point on PBEsol structure", "cell": [[3.881, 0.000, 0.000], [0.000, 4.191, 0.000], [0.000, 2.095, 6.234]], "species": ["K", "K", "Cu", "F", "F", "F", "F"], "frac_coords": [[0.500, 0.646, 0.707], [0.500, 0.354, 0.293], [0.000, 0.000, 0.000], [0.000, 0.500, 0.000], [0.500, 0.000, 0.000], [0.000, 0.842, 0.316], [0.000, 0.158, 0.684]], "spacegroup": "Cmmm (65)", "raw_formation_energy_mev_per_atom": -2481}

---

{"formula": "B2TeP", "functional": "SCAN", "state": "single point on PBEsol structure", "cell": [[5.012, 0.000, 0.000], [-2.506, 5.287, -0.052], [0.000, 2.419, 4.390]], "species": ["P", "P", "B", "B", "B", "B", "Te", "Te"], "frac_coords": [[0.250, 0.500, 0.250], [0.500, 0.000, 0.500], [0.556, 0.750, 0.375], [0.194, 0.750, 0.875], [0.875, 0.250, 0.556], [0.375, 0.250, 0.194], [0.750, 0.500, 0.750], [0.000, 0.000, 0.000]], "spacegroup": "I-42d (122)", "raw_formation_energy_mev_per_atom": 306}

---

{"formula": "CuTe2F", "functional": "SCAN", "state": "single point on PBEsol structure", "cell": [[-3.162, 1.701, -1.429], [-0.792, -0.254, -3.774], [-5.134, -5.597, -0.525]], "species": ["Te", "Te", "Cu", "F"], "frac_coords": [[0.895, 0.895, 0.314], [0.105, 0.105, 0.686], [0.500, 0.500, 0.500], [0.000, 0.000, 0.000]], "spacegroup": "R-3m (166)", "raw_formation_energy_mev_per_atom": -412}

---

{"formula": "Ga2AgPd2", "functional": "SCAN", "state": "single point on PBEsol structure", "cell": [[2.854, 0.000, 0.000], [0.000, 7.290, 0.000], [0.000, 0.000, 7.290]], "species": ["Ga", "Ga", "Ga", "Ga", "Pd", "Pd", "Pd", "Pd", "Ag", "Ag"], "frac_coords": [[0.500, 0.159, 0.659], [0.500, 0.659, 0.841], [0.500, 0.841, 0.341], [0.500, 0.341, 0.159], [0.000, 0.361, 0.861], [0.000, 0.861, 0.639], [0.000, 0.639, 0.139], [0.000, 0.139, 0.361], [0.000, 0.000, 0.000], [0.000, 0.500, 0.500]], "spacegroup": "P4/mbm (127)", "e_form_mev_per_atom": -449}

---

{"formula": "K2SiAg", "functional": "SCAN", "state": "single point on PBEsol structure", "cell": [[4.653, 0.000, 0.000], [2.326, 8.950, 0.000], [2.326, 0.000, 8.950]], "species": ["K", "K", "K", "K", "Si", "Si", "Ag", "Ag"], "frac_coords": [[0.859, 0.766, 0.266], [0.891, 0.234, 0.734], [0.375, 0.734, 0.766], [0.875, 0.266, 0.234], [0.500, 0.000, 0.000], [0.250, 0.500, 0.500], [0.000, 0.000, 0.000], [0.750, 0.500, 0.500]], "spacegroup": "I-42d (122)", "raw_formation_energy_mev_per_atom": 164}

---

{"formula": "Y2RhSBr", "functional": "SCAN", "state": "single point on PBEsol structure", "cell": [[-3.397, -2.097, -2.342], [3.523, -3.132, -2.307], [-0.540, -3.476, 3.895]], "species": ["Y", "Y", "S", "Rh", "Br"], "frac_coords": [[0.000, 0.000, 0.500], [0.000, 0.500, 0.000], [0.500, 0.000, 0.000], [0.500, 0.500, 0.500], [0.000, 0.000, 0.000]], "spacegroup": "P4/mmm (123)", "raw_formation_energy_mev_per_atom": 335}

---

{"formula": "MnTeRh2", "functional": "SCAN", "state": "single point on PBEsol structure", "cell": [[3.462, 0.001, -0.002], [-0.002, 4.183, -0.379], [-1.728, -2.505, 4.536]], "species": ["Mn", "Rh", "Rh", "Te"], "frac_coords": [[0.256, 0.708, 0.512], [0.994, 0.049, 0.988], [0.757, 0.210, 0.514], [0.493, 0.533, 0.985]], "spacegroup": "Cm (8)", "raw_formation_energy_mev_per_atom": -308}

---

{"formula": "CaTiNb2Ru", "functional": "SCAN", "state": "single point on PBEsol structure", "cell": [[-0.587, 2.509, -3.665], [-4.218, 1.242, 1.526], [1.871, 3.650, 2.200]], "species": ["Ru", "Nb", "Nb", "Ca", "Ti"], "frac_coords": [[0.500, 0.000, 0.000], [0.000, 0.000, 0.500], [0.000, 0.500, 0.000], [0.000, 0.000, 0.000], [0.500, 0.500, 0.500]], "spacegroup": "P4/mmm (123)", "e_form_mev_per_atom": 2142}

---

| no. | volume (A^3/atom) |
| --- | --- |
| 1 | 17.46 |
| 2 | 22.57 |
| 3 | 18.23 |
| 4 | 13.28 |
| 5 | 14.49 |
| 6 | 14.62 |
| 7 | 23.54 |
| 8 | 15.17 |
| 9 | 46.59 |
| 10 | 25.49 |
| 11 | 15.59 |
| 12 | 19.41 |